First-principles (PBE-GGA) data for crystalline LiEuLu at its relaxed geometry, as listed in the Alexandria database.

Cell and atoms, written as POSCAR:
```
LiEuLu
1.0
3.427 0.000 0.000
0.000 5.540 0.000
0.000 -2.770 4.798
Eu Lu Li
1 1 1
Direct
0.712 0.333 0.667
0.288 0.667 0.333
0.999 0.000 0.000
```

Polymorph energy (0 for the lowest one): 0 meV/atom
Total magnetic moment: 7.4 Bohr magnetons per cell
E_form: 0.2196 eV/atom